(1)
A geometry-optimized MnTcNiCl2 structure. Source: Alexandria, functional GGA-PBEsol. Values from VASP.

Structure (Quantum ESPRESSO input):
```
&SYSTEM
  ibrav = 0, nat = 5, ntyp = 4
/
ATOMIC_SPECIES
Mn 54.94 Mn.upf
Tc 98.00 Tc.upf
Ni 58.69 Ni.upf
Cl 35.45 Cl.upf
ATOMIC_POSITIONS angstrom
Mn 0.000 0.000 0.000
Tc 2.292 2.292 2.292
Ni 2.292 2.292 0.000
Cl 0.000 2.292 2.292
Cl 2.292 0.000 2.292
CELL_PARAMETERS angstrom
4.585 0.000 0.000
0.000 4.585 0.000
0.000 0.000 4.584
```

Results
Space-group type: P4/mmm (123)
Crystal system: tetragonal
Final energy: -5.40 eV/atom

(2)
A geometry-optimized Cd2CoRu structure. Source: Alexandria, functional GGA-PBEsol. Values from VASP.

Structure (Quantum ESPRESSO input):
```
&SYSTEM
  ibrav = 0, nat = 4, ntyp = 3
/
ATOMIC_SPECIES
Cd 112.41 Cd.upf
Co 58.93 Co.upf
Ru 101.07 Ru.upf
ATOMIC_POSITIONS angstrom
Cd 0.000 1.949 0.000
Cd 1.949 0.000 0.000
Co 0.000 0.000 2.030
Ru 1.949 1.949 2.030
CELL_PARAMETERS angstrom
3.899 0.000 0.000
0.000 3.899 0.000
0.000 0.000 4.061
```

Results
Space-group type: P4/mmm (123)
Crystal system: tetragonal
Formation energy from the elements: 42 kJ/mol of atoms

(3)
A geometry-optimized Ni3Mo structure. Source: Alexandria, functional GGA-PBEsol. Values from VASP.

Structure (Quantum ESPRESSO input):
```
&SYSTEM
  ibrav = 0, nat = 4, ntyp = 2
/
ATOMIC_SPECIES
Ni 58.69 Ni.upf
Mo 95.94 Mo.upf
ATOMIC_POSITIONS angstrom
Ni 0.000 0.000 0.000
Ni 1.550 0.000 3.252
Ni 6.078 0.000 1.056
Mo 3.814 0.000 2.154
CELL_PARAMETERS angstrom
4.204 -1.274 0.000
4.204 1.274 0.000
-0.780 0.000 4.307
```

Results
Space-group type: C2/m (12)
Crystal system: monoclinic
Formation energy from the elements: -1 kJ/mol of atoms

(4)
A geometry-optimized Te2Se structure. Source: Alexandria, functional GGA-PBEsol. Values from VASP.

Structure (Quantum ESPRESSO input):
```
&SYSTEM
  ibrav = 0, nat = 6, ntyp = 2
/
ATOMIC_SPECIES
Te 127.60 Te.upf
Se 78.96 Se.upf
ATOMIC_POSITIONS angstrom
Te 0.000 2.356 0.938
Te 0.000 2.356 4.850
Te 2.041 1.178 6.726
Te 2.041 1.178 10.638
Se 0.000 0.000 2.894
Se 0.000 0.000 8.682
CELL_PARAMETERS angstrom
4.082 0.000 0.000
-2.041 3.535 0.000
0.000 0.000 11.576
```

Results
Space-group type: P6_3/mmc (194)
Crystal system: hexagonal
Final energy: -3.59 eV/atom

(5)
A geometry-optimized SrZn2Pt structure. Source: Alexandria, functional GGA-PBEsol. Values from VASP.

Structure (Quantum ESPRESSO input):
```
&SYSTEM
  ibrav = 0, nat = 4, ntyp = 3
/
ATOMIC_SPECIES
Sr 87.62 Sr.upf
Zn 65.41 Zn.upf
Pt 195.08 Pt.upf
ATOMIC_POSITIONS angstrom
Sr 0.000 0.000 0.000
Zn 0.000 0.000 3.025
Zn 0.000 0.000 7.619
Pt 0.000 0.000 12.822
CELL_PARAMETERS angstrom
2.185 1.262 5.295
-2.185 1.262 5.295
0.000 -2.523 5.295
```

Results
Space-group type: R3m (160)
Crystal system: trigonal
Formation energy from the elements: -50 kJ/mol of atoms

(6)
A geometry-optimized CdRuRh2 structure. Source: Alexandria, functional GGA-PBEsol. Values from VASP.

Structure (Quantum ESPRESSO input):
```
&SYSTEM
  ibrav = 0, nat = 4, ntyp = 3
/
ATOMIC_SPECIES
Cd 112.41 Cd.upf
Ru 101.07 Ru.upf
Rh 102.91 Rh.upf
ATOMIC_POSITIONS angstrom
Cd 0.000 0.000 0.000
Ru 2.295 2.295 0.000
Rh 0.000 2.295 1.406
Rh 2.295 0.000 1.406
CELL_PARAMETERS angstrom
4.590 0.000 0.000
0.000 4.590 0.000
0.000 0.000 2.811
```

Results
Space-group type: P4/mmm (123)
Crystal system: tetragonal
Formation energy from the elements: 30 kJ/mol of atoms

(7)
A geometry-optimized BRhSe2Br structure. Source: Alexandria, functional GGA-PBEsol. Values from VASP.

Structure (Quantum ESPRESSO input):
```
&SYSTEM
  ibrav = 0, nat = 5, ntyp = 4
/
ATOMIC_SPECIES
B 10.81 B.upf
Rh 102.91 Rh.upf
Se 78.96 Se.upf
Br 79.90 Br.upf
ATOMIC_POSITIONS angstrom
B 0.000 0.000 0.000
Rh 2.192 2.192 2.164
Se 0.000 2.192 0.000
Se 2.192 0.000 0.000
Br 0.000 0.000 2.164
CELL_PARAMETERS angstrom
4.385 0.000 0.000
0.000 4.385 0.000
0.000 0.000 4.328
```

Results
Space-group type: P4/mmm (123)
Crystal system: tetragonal
Final energy: -4.00 eV/atom

(8)
A geometry-optimized Re2AgHg structure. Source: Alexandria, functional GGA-PBEsol. Values from VASP.

Structure (Quantum ESPRESSO input):
```
&SYSTEM
  ibrav = 0, nat = 4, ntyp = 3
/
ATOMIC_SPECIES
Re 186.21 Re.upf
Ag 107.87 Ag.upf
Hg 200.59 Hg.upf
ATOMIC_POSITIONS angstrom
Re 0.000 0.000 7.103
Re 0.000 0.000 21.514
Ag 0.000 0.000 14.308
Hg 0.000 0.000 0.000
CELL_PARAMETERS angstrom
1.393 0.805 9.539
-1.393 0.805 9.539
0.000 -1.609 9.539
```

Results
Space-group type: R-3m (166)
Crystal system: trigonal
Formation energy from the elements: 73 kJ/mol of atoms

Number 1: magnetic moment 4.8 μB per formula unit. Number 2: magnetic moment 2.6 μB per formula unit. Number 3: magnetic moment 0.0 μB per formula unit. Number 4: magnetic moment 0.0 μB per formula unit. Number 5: magnetic moment 0.0 μB per formula unit. Number 6: magnetic moment 1.4 μB per formula unit. Number 7: magnetic moment 0.0 μB per formula unit. Number 8: magnetic moment 0.0 μB per formula unit.